Entry 1:
VASP calculation (SCAN) on a PBEsol-optimized structure of BaTc2Ag.

Properties
Formation energy (eV per atom): 0.611
ΔE to the lowest computed polymorph (eV/atom): 0.176
Raw total energy (eV per atom): -34.65

```
4
Lattice="-0.091 3.681 0.650 -4.227 -1.600 -2.284 -0.893 -1.033 5.724" Properties=species:S:1:pos:R:3 pbc="T T T"
Tc -3.186 1.037 4.436
Tc -2.025 0.011 -0.346
Ba -0.446 -0.517 2.862
Ag -0.045 1.841 0.325
```

Entry 2:
VASP calculation (SCAN) on a PBEsol-optimized structure of TcP2Au.

Properties
Formation energy (eV per atom): 0.296
ΔE to the lowest computed polymorph (eV/atom): 0.190
Raw total energy (eV per atom): -30.96

```
4
Lattice="-0.232 -2.674 0.647 0.204 -1.121 -4.560 5.295 1.518 2.286" Properties=species:S:1:pos:R:3 pbc="T T T"
Au -0.116 -1.337 0.323
P 1.887 -2.034 -1.838
P 3.380 -0.243 0.211
Tc 0.102 -0.560 -2.280
```

Entry 3:
VASP calculation (SCAN) on a PBEsol-optimized structure of KP3H.

Properties
Raw total energy (eV per atom): -7.84

```
5
Lattice="-1.149 2.232 3.395 2.541 -2.359 2.410 3.171 2.699 -0.701" Properties=species:S:1:pos:R:3 pbc="T T T"
P -0.574 1.116 1.698
P 1.270 -1.180 1.205
P 1.585 1.349 -0.351
H 0.000 0.000 0.000
K 2.282 1.286 2.552
```

Entry 4:
VASP calculation (SCAN) on a PBEsol-optimized structure of ReW3.

Properties
Formation energy (eV per atom): 0.015
ΔE to the lowest computed polymorph (eV/atom): 0.006
Raw total energy (eV per atom): -70.03

```
8
Lattice="4.993 0.000 0.000 0.000 4.993 0.000 0.000 0.000 4.993" Properties=species:S:1:pos:R:3 pbc="T T T"
W 1.248 2.496 0.000
W 3.745 2.496 0.000
W 0.000 3.745 2.496
W 0.000 1.248 2.496
W 2.496 0.000 1.248
W 2.496 0.000 3.745
Re 0.000 0.000 0.000
Re 2.496 2.496 2.496
```

Entry 5:
VASP calculation (SCAN) on a PBEsol-optimized structure of TaAs2AuSe.

Properties
Formation energy from raw total energies (eV per atom): 0.4790
Raw total energy (eV per atom): -38.76

```
5
Lattice="-4.242 -0.657 2.207 1.250 -4.697 1.003 2.011 1.454 4.298" Properties=species:S:1:pos:R:3 pbc="T T T"
Au -0.490 -1.950 3.754
As 1.006 0.727 2.149
As 0.625 -2.348 0.502
Se -2.121 -0.329 1.104
Ta 0.000 0.000 0.000
```

Entry 6:
VASP calculation (SCAN) on a PBEsol-optimized structure of SrScAu2.

Properties
Formation energy (eV per atom): -0.763
ΔE to the lowest computed polymorph (eV/atom): 0.179
Raw total energy (eV per atom): -44.47

```
4
Lattice="4.889 0.000 0.000 2.444 4.396 0.040 2.444 1.326 4.192" Properties=species:S:1:pos:R:3 pbc="T T T"
Au 4.889 4.391 3.247
Au 4.889 1.331 0.984
Sr 2.444 2.861 2.116
Sc 2.444 0.000 0.000
```

Entry 7:
VASP calculation (SCAN) on a PBEsol-optimized structure of Na2BrCl.

Properties
Formation energy from raw total energies (eV per atom): -1.7968
ΔE to the lowest computed polymorph (eV/atom): 0.100
Raw total energy (eV per atom): -10.76

```
8
Lattice="7.084 0.000 0.000 0.000 7.084 0.000 -3.542 -3.542 4.503" Properties=species:S:1:pos:R:3 pbc="T T T"
Na 1.771 1.642 3.377
Na 1.900 5.313 1.126
Na 5.184 1.771 1.126
Na -1.771 -1.642 3.377
Br 0.000 0.000 0.000
Br 0.000 3.542 2.252
Cl 3.542 0.000 2.252
Cl 3.542 3.542 0.000
```

Entry 8:
VASP calculation (SCAN) on a PBEsol-optimized structure of TlPtW.

Properties
Formation energy (eV per atom): 0.897
Raw total energy (eV per atom): -69.85

```
3
Lattice="-2.286 2.241 3.038 -3.475 -1.874 1.973 0.240 -1.170 4.249" Properties=species:S:1:pos:R:3 pbc="T T T"
W -4.140 -0.602 6.945
Tl -2.760 -0.401 4.630
Pt 0.000 0.000 0.000
```

Entry 9:
VASP calculation (SCAN) on a PBEsol-optimized structure of Sc2NiRu.

Properties
Formation energy (eV per atom): -0.647
Raw total energy (eV per atom): -20.52

```
4
Lattice="4.446 0.000 0.000 2.223 3.850 0.000 2.223 1.283 3.630" Properties=species:S:1:pos:R:3 pbc="T T T"
Sc 2.223 1.283 0.907
Sc 6.668 3.850 2.722
Ni 4.446 2.567 1.815
Ru 0.000 0.000 0.000
```

Entry 10:
VASP calculation (SCAN) on a PBEsol-optimized structure of HgPtCl.

Properties
Formation energy from raw total energies (eV per atom): 0.6772
ΔE to the lowest computed polymorph (eV/atom): 0.451
Raw total energy (eV per atom): -48.10

```
3
Lattice="-3.661 -2.661 0.283 -0.434 -3.561 -2.773 0.379 -4.210 1.640" Properties=species:S:1:pos:R:3 pbc="T T T"
Hg -0.929 -2.608 -0.213
Pt 0.000 0.000 0.000
Cl -1.858 -5.216 -0.425
```

Entry 11:
VASP calculation (SCAN) on a PBEsol-optimized structure of Ni2TeW.

Properties
Formation energy from raw total energies (eV per atom): 0.4682
Raw total energy (eV per atom): -34.35

```
4
Lattice="-1.606 1.044 -3.049 -0.719 -3.778 -0.915 -3.465 0.200 1.894" Properties=species:S:1:pos:R:3 pbc="T T T"
W -0.803 0.522 -1.524
Ni -1.732 0.100 0.947
Ni -0.359 -1.889 -0.457
Te -2.895 -1.267 -1.035
```

Entry 12:
VASP calculation (SCAN) on a PBEsol-optimized structure of ZrGaCoMo2.

Properties
Formation energy (eV per atom): 1.976
Raw total energy (eV per atom): -24.85

```
5
Lattice="-1.638 -3.083 -2.569 3.674 0.489 -2.930 2.374 -3.284 2.429" Properties=species:S:1:pos:R:3 pbc="T T T"
Zr 0.000 0.000 0.000
Mo 1.837 0.245 -1.465
Mo 1.187 -1.642 1.214
Co -0.819 -1.542 -1.284
Ga 2.205 -2.939 -1.535
```

Number 1: calculated density 7.361 g cm⁻³. Number 2: calculated density 8.610 g cm⁻³. Number 3: calculated density 2.934 g cm⁻³. Number 4: calculated density 19.684 g cm⁻³. Number 5: calculated density 8.475 g cm⁻³. Number 6: calculated density 9.732 g cm⁻³. Number 7: calculated density 2.371 g cm⁻³. Number 8: calculated density 15.934 g cm⁻³. Number 9: calculated density 6.673 g cm⁻³. Number 10: calculated density 10.861 g cm⁻³. Number 11: calculated density 12.654 g cm⁻³. Number 12: calculated density 7.068 g cm⁻³.